Below is an optimized crystal structure of BaHg2Os, with properties calculated at the PBE level.

Structure (POSCAR):
```
BaHg2Os
1.0
4.715 -0.035 0.052
2.380 4.071 0.052
2.317 1.318 5.823
Hg Ba Os
2 1 1
Cartesian
4.700 2.673 3.714
2.322 1.321 5.073
2.353 1.338 1.482
7.059 4.015 4.445
```

symmetry = C2/m
excess energy over the best structure of this formula in the dataset = 0.018 eV per atom
DFT total energy = -3.04 eV/atom
energy of formation from the pure elements = 1.59 eV/f.u.

=====

Below is an optimized crystal structure of RbLiLaFe, with properties calculated at the PBE level.

Structure (POSCAR):
```
RbLiLaFe
1.0
3.410 0.291 -0.003
-0.372 4.528 0.006
-1.460 -2.421 8.668
La Rb Li Fe
1 1 1 1
Cartesian
0.715 1.864 1.470
1.247 -0.378 4.941
-0.661 1.731 7.875
2.336 4.280 1.448
```

symmetry = P1
excess energy over the best structure of this formula in the dataset = 0.000 eV per atom
DFT total energy = -3.62 eV/atom
energy of formation from the pure elements = 1.79 eV/f.u.

=====

Below is an optimized crystal structure of CdFeAg2, with properties calculated at the PBE level.

Structure (POSCAR):
```
CdFeAg2
1.0
-0.282 2.432 -5.052
-4.927 0.184 -2.685
3.145 1.422 4.427
Cd Fe Ag
1 1 2
Cartesian
-2.193 1.457 -1.063
0.130 2.581 -2.247
-5.135 2.579 -7.629
-2.677 1.345 -3.977
```

symmetry = Immm
DFT total energy = -3.49 eV/atom
energy of formation from the pure elements = 1.13 eV/f.u.

=====

Below is an optimized crystal structure of PuCdAg2O8, with properties calculated at the PBE level.

Structure (POSCAR):
```
PuCdAg2O8
1.0
-3.260 2.648 -4.414
3.896 -3.634 -2.956
-3.516 -3.103 3.890
O Pu Ag Cd
8 1 2 1
Cartesian
0.244 -1.430 -1.914
-3.168 0.775 -3.978
-0.702 -0.787 -5.386
-3.002 -2.170 -3.569
-1.900 -3.734 -1.317
-3.402 -2.228 1.657
-1.892 -0.151 -0.321
-4.855 -0.350 -0.550
0.000 0.000 0.000
0.318 -0.493 -3.685
-3.229 -0.474 -2.105
0.349 -3.615 -1.375
```

symmetry = I-4m2
uncorrected formation energy = -0.704 eV per atom
DFT total energy = -5.76 eV/atom

=====

Below is an optimized crystal structure of Li2LaGaS4, with properties calculated at the PBE level.

Structure (POSCAR):
```
Li2LaGaS4
1.0
8.033 0.500 -0.261
0.492 8.049 -0.250
-4.439 -4.445 5.842
S Li La Ga
8 4 2 2
Cartesian
-0.072 3.986 2.716
3.941 4.241 3.072
2.311 2.047 0.622
1.912 2.201 4.933
0.011 -0.250 2.057
2.669 5.749 -0.243
1.654 -1.835 5.531
4.344 -0.142 2.649
2.225 -1.612 2.422
4.145 7.863 -0.016
-1.661 -1.897 2.679
3.938 3.729 -0.028
-1.943 1.676 2.856
-4.071 -0.471 5.650
2.012 2.909 2.700
2.747 -3.916 5.556
```

symmetry = P1
uncorrected formation energy = -1.324 eV per atom
DFT total energy = -4.86 eV/atom

=====

Below is an optimized crystal structure of Ca2DyTe3, with properties calculated at the PBE level.

Structure (POSCAR):
```
Ca2DyTe3
1.0
7.584 -0.025 -1.267
-4.088 6.388 -1.267
-0.006 -0.010 7.730
Ca Te Dy
4 6 2
Cartesian
-0.197 4.250 -1.267
5.636 1.038 2.598
-2.131 5.306 2.598
1.730 3.184 2.598
2.644 4.761 -0.002
-1.092 2.623 1.272
4.540 3.704 3.931
2.799 0.534 1.265
0.691 5.868 3.924
0.889 1.568 5.198
3.693 2.113 -1.267
-4.094 6.378 6.463
```

symmetry = C2/m
excess energy over the best structure of this formula in the dataset = 0.000 eV per atom
uncorrected formation energy = -1.513 eV per atom
DFT total energy = -4.52 eV/atom

=====

| no. | D(E_F) (states/eV per cell) |
| --- | --- |
| 1 | 3.25 |
| 2 | 3.28 |
| 3 | 3.19 |
| 4 | 1.50 |
| 5 | 0.00 |
| 6 | 3.00 |